# Rb2CdCl4 PBE optimized geometry
data_Rb2CdCl4
_cell_length_a 7.7121
_cell_length_b 7.4417
_cell_length_c 9.2364
_cell_angle_alpha 90.00
_cell_angle_beta 108.47
_cell_angle_gamma 90.00
_symmetry_space_group_name_H-M 'P 1 21/m 1'
_symmetry_Int_Tables_number 11
loop_
_symmetry_equiv_pos_as_xyz
'x,y,z'
'-x,-y,-z'
'-x,y+1/2,-z'
'x,-y+1/2,z'
loop_
_atom_site_label
_atom_site_type_symbol
_atom_site_fract_x
_atom_site_fract_y
_atom_site_fract_z
_atom_site_occupancy
Rb1 Rb 0.2106 0.2500 0.0552 1
Rb2 Rb 0.2681 0.2500 0.5642 1
Cd1 Cd 0.2437 0.7500 0.8036 1
Cl1 Cl 0.0155 0.0019 0.7430 1
Cl2 Cl 0.4288 0.7500 0.0777 1
Cl3 Cl 0.4334 0.7500 0.6310 1
# theoretical density = 2.81 g/cm³
# energy = -3.06 eV/atom

=====

# Rb3Cd2Cl7 PBE optimized geometry
data_Rb3Cd2Cl7
_cell_length_a 5.3613
_cell_length_b 26.6958
_cell_length_c 5.2352
_cell_angle_alpha 90.00
_cell_angle_beta 90.00
_cell_angle_gamma 90.00
_symmetry_space_group_name_H-M 'C m m m'
_symmetry_Int_Tables_number 65
_symmetry_space_group_name_Hall '-C 2 2'
loop_
_atom_site_label
_atom_site_type_symbol
_atom_site_fract_x
_atom_site_fract_y
_atom_site_fract_z
_atom_site_occupancy
Rb1 Rb 0.0000 0.0000 0.0000 1
Rb2 Rb 0.0000 0.1787 0.0000 1
Cd1 Cd 0.0000 0.3997 0.5000 1
Cl1 Cl 0.0000 0.0951 0.5000 1
Cl2 Cl 0.0000 0.3036 0.5000 1
Cl3 Cl 0.0000 0.4042 0.0000 1
Cl4 Cl 0.0000 0.5000 0.5000 1
# theoretical density = 3.23 g/cm³
# energy = -2.98 eV/atom

=====

# Rb2Cd3Cl8 PBE optimized geometry
data_Rb2Cd3Cl8
_cell_length_a 15.7392
_cell_length_b 7.9868
_cell_length_c 6.9585
_cell_angle_alpha 90.00
_cell_angle_beta 107.99
_cell_angle_gamma 90.00
_symmetry_space_group_name_H-M 'C 1 2/m 1'
_symmetry_Int_Tables_number 12
loop_
_symmetry_equiv_pos_as_xyz
'x,y,z'
'-x,-y,-z'
'-x,y,-z'
'x,-y,z'
'x+1/2,y+1/2,z'
'-x+1/2,-y+1/2,-z'
'-x+1/2,y+1/2,-z'
'x+1/2,-y+1/2,z'
loop_
_atom_site_label
_atom_site_type_symbol
_atom_site_fract_x
_atom_site_fract_y
_atom_site_fract_z
_atom_site_occupancy
Rb1 Rb 0.2320 0.0000 0.1742 1
Cd1 Cd 0.0000 0.2418 0.5000 1
Cd2 Cd 0.0000 0.5000 0.0000 1
Cl1 Cl 0.0963 0.2726 0.8883 1
Cl2 Cl 0.0969 0.5000 0.4016 1
Cl3 Cl 0.1096 0.0000 0.4721 1
# theoretical density = 3.16 g/cm³
# energy = -2.87 eV/atom

=====

# RbCd3Cl7 PBE optimized geometry
data_RbCd3Cl7
_cell_length_a 10.8482
_cell_length_b 9.2348
_cell_length_c 6.8112
_cell_angle_alpha 90.00
_cell_angle_beta 104.61
_cell_angle_gamma 90.00
_symmetry_space_group_name_H-M 'C 1 2/m 1'
_symmetry_Int_Tables_number 12
loop_
_symmetry_equiv_pos_as_xyz
'x,y,z'
'-x,-y,-z'
'-x,y,-z'
'x,-y,z'
'x+1/2,y+1/2,z'
'-x+1/2,-y+1/2,-z'
'-x+1/2,y+1/2,-z'
'x+1/2,-y+1/2,z'
loop_
_atom_site_label
_atom_site_type_symbol
_atom_site_fract_x
_atom_site_fract_y
_atom_site_fract_z
_atom_site_occupancy
Rb1 Rb 0.0000 0.0000 0.0000 1
Cd1 Cd 0.0000 0.2916 0.5000 1
Cd2 Cd 0.0000 0.5000 0.0000 1
Cl1 Cl 0.0000 0.0000 0.5000 1
Cl2 Cl 0.1304 0.2961 0.2387 1
Cl3 Cl 0.1442 0.5000 0.7308 1
# theoretical density = 3.37 g/cm³
# energy = -2.73 eV/atom